Record 1
! ZrSc2Cr PBEsol relaxed; values from VASP
&SYSTEM
  ibrav = 0, nat = 4, ntyp = 3
/
ATOMIC_SPECIES
Zr 91.22 Zr.upf
Sc 44.96 Sc.upf
Cr 52.00 Cr.upf
CELL_PARAMETERS angstrom
3.1028 0.0000 0.0000
0.0000 4.5229 0.0000
-1.3479 0.0000 5.6699
ATOMIC_POSITIONS crystal
Zr 0.0000 0.0000 0.0000
Sc 0.4063 0.5000 0.7341
Sc 0.5937 0.5000 0.2659
Cr 0.0000 0.0000 0.5000
! **Distance to the lowest polymorph of the same formula**: 27 meV per atom
! **E_form**: 0.29 eV/atom
! **Electronic total energy**: -31.384 eV/f.u.
! **D(E_F)**: 1.309 states/eV/atom

Record 2
! Li2CuMo PBEsol relaxed; values from VASP
&SYSTEM
  ibrav = 0, nat = 4, ntyp = 3
/
ATOMIC_SPECIES
Li 6.94 Li.upf
Cu 63.55 Cu.upf
Mo 95.94 Mo.upf
CELL_PARAMETERS angstrom
2.4830 0.0000 0.0000
0.0000 3.9840 0.0000
0.0000 0.0000 5.6117
ATOMIC_POSITIONS crystal
Li 0.0000 0.0000 0.0000
Li 0.5000 0.5000 0.2348
Cu 0.5000 0.5000 0.7263
Mo 0.0000 0.0000 0.5254
! **E_form**: 0.32 eV/atom
! **Electronic total energy**: -18.741 eV/f.u.
! **D(E_F)**: 0.626 states/eV/atom

Record 3
! Co PBEsol relaxed; values from VASP
&SYSTEM
  ibrav = 0, nat = 16, ntyp = 1
/
ATOMIC_SPECIES
Co 58.93 Co.upf
CELL_PARAMETERS angstrom
2.4248 0.0000 0.0000
0.0000 9.0749 0.0000
0.0000 0.0000 7.5696
ATOMIC_POSITIONS crystal
Co 0.0000 0.0194 0.2500
Co 0.0000 0.2471 0.7500
Co 0.0000 0.3726 0.0171
Co 0.0000 0.3726 0.4829
Co 0.0000 0.6274 0.5171
Co 0.0000 0.6274 0.9829
Co 0.0000 0.7529 0.2500
Co 0.0000 0.9806 0.7500
Co 0.5000 0.1274 0.5171
Co 0.5000 0.1274 0.9829
Co 0.5000 0.2529 0.2500
Co 0.5000 0.4806 0.7500
Co 0.5000 0.5194 0.2500
Co 0.5000 0.7471 0.7500
Co 0.5000 0.8726 0.0171
Co 0.5000 0.8726 0.4829
! **Distance to the lowest polymorph of the same formula**: 46 meV per atom
! **E_form**: 0.05 eV/atom
! **Electronic total energy**: -7.691 eV/f.u.
! **D(E_F)**: 0.826 states/eV/atom